A plane-wave DFT calculation with GGA-PBE was carried out for a relaxed structure of Hf2Ga2Pb.

a = 8.0643 Å, b = 8.0643 Å, c = 3.2780 Å
α = 90.00°, β = 90.00°, γ = 90.00°
Last column: nearest neighbours and their distance in Å.
Space group P4/mbm (No. 127)
Inequivalent atoms, fractional coordinates:
Hf (0.1313, 0.3687, 0.0000)  6 Ga 2.80-2.94, 1 Hf 3.00
Ga (0.1694, 0.6694, 0.5000)  6 Hf 2.80-2.94
Pb (0.0000, 0.0000, 0.0000)  4 Hf 3.16, 2 Pb 3.28, 8 Ga 3.41

Values from the calculation:
- Total magnetization: 0.000 μB per cell
- E above lowest polymorph: 0.05 eV/f.u.

A plane-wave DFT calculation with GGA-PBE was carried out for a relaxed structure of TeI2O8.

a = 9.2947 Å, b = 7.3173 Å, c = 5.0834 Å
α = 90.00°, β = 104.26°, γ = 90.00°
Last column: nearest neighbours and their distance in Å.
Space group C2/m (No. 12)
Inequivalent atoms, fractional coordinates:
Te (0.0000, 0.0000, 0.0000)  2 O 1.81
I (0.2058, 0.5000, 0.5324)  3 O 1.79-1.94
O (0.0877, 0.5000, 0.7635)  1 I 1.79
O (0.1282, 0.0000, 0.7822)  1 Te 1.81
O (0.1492, 0.1763, 0.2763)  1 I 1.94, 1 Te 2.14

Values from the calculation:
- Raw formation energy: -0.289 eV per atom
- Total magnetization: 0.000 μB per cell

| no. | mass density (g/cm³) |
| --- | --- |
| 1 | 10.96 |
| 2 | 5.05 |